Below is crystalline RbPaPd2S4 at its relaxed geometry, with properties calculated at the PBE level.

The value obtained for the uncorrected formation energy is -817 meV per atom. Its crystal system is orthorhombic. For the total magnetization, the calculation gives 0.00 Bohr magnetons per cell. The calculation puts the density of states at the Fermi level at 0.805 states/eV/atom.

It has space group I222 (No. 23), with a = 6.668 Å, b = 6.696 Å, c = 8.469 Å, α = 90.00°, β = 90.00° and γ = 90.00°. The inequivalent atoms are Rb at (0.000, 0.000, 0.000), Pa at (0.000, 0.000, 0.500), Pd at (0.000, 0.500, 0.248) and S at (0.210, 0.210, 0.304).

Below is crystalline Rb3Pa3PdS8 at its relaxed geometry, with properties calculated at the PBE level.

The value obtained for the uncorrected formation energy is -1336 meV per atom. Its crystal system is monoclinic. For the total magnetization, the calculation gives 4.28 Bohr magnetons per cell. The calculation puts the density of states at the Fermi level at 0.987 states/eV/atom.

It has space group C2/m (No. 12), with a = 13.450 Å, b = 8.320 Å, c = 8.818 Å, α = 90.00°, β = 118.58° and γ = 90.00°. The inequivalent atoms are Rb at (0.000, 0.000, 0.000), Rb at (0.250, 0.250, 0.000), Pa at (0.000, 0.500, 0.500), Pa at (0.250, 0.250, 0.500), Pd at (0.000, 0.000, 0.500), S at (0.027, 0.280, 0.299), S at (0.212, 0.000, 0.666) and S at (0.234, 0.500, 0.696).

Below is crystalline RbPaPdS4 at its relaxed geometry, with properties calculated at the PBE level.

The value obtained for the uncorrected formation energy is -1089 meV per atom. Its crystal system is monoclinic. For the total magnetization, the calculation gives 0.00 Bohr magnetons per cell. The calculation puts the density of states at the Fermi level at 0.198 states/eV/atom.

It has space group P2_1/m (No. 11), with a = 6.780 Å, b = 5.598 Å, c = 9.470 Å, α = 90.00°, β = 107.74° and γ = 90.00°. The inequivalent atoms are Rb at (0.248, 0.250, 0.451), Pa at (0.227, 0.250, 0.944), Pd at (0.281, 0.750, 0.183), S at (0.032, 0.750, 0.318), S at (0.073, 0.750, 0.925) and S at (0.467, 0.542, 0.811).

Below is crystalline RbPa2PdS5 at its relaxed geometry, with properties calculated at the PBE level.

The value obtained for the uncorrected formation energy is -1396 meV per atom. Its crystal system is tetragonal. For the total magnetization, the calculation gives 3.74 Bohr magnetons per cell. The calculation puts the density of states at the Fermi level at 0.135 states/eV/atom.

It has space group I4/mcm (No. 140), with a = 7.661 Å, b = 7.661 Å, c = 14.042 Å, α = 90.00°, β = 90.00° and γ = 90.00°. The inequivalent atoms are Rb at (0.000, 0.000, 0.250), Pa at (0.160, 0.340, 0.000), Pd at (0.000, 0.500, 0.250), S at (0.000, 0.000, 0.000) and S at (0.145, 0.355, 0.382).

Below is crystalline Rb4Pa3PdS8 at its relaxed geometry, with properties calculated at the PBE level.

The value obtained for the uncorrected formation energy is -1307 meV per atom. Its crystal system is monoclinic. For the total magnetization, the calculation gives 5.94 Bohr magnetons per cell. The calculation puts the density of states at the Fermi level at 1.035 states/eV/atom.

It has space group C2/m (No. 12), with a = 14.100 Å, b = 8.100 Å, c = 9.028 Å, α = 90.00°, β = 121.36° and γ = 90.00°. The inequivalent atoms are Rb at (0.000, 0.000, 0.000), Rb at (0.000, 0.500, 0.000), Rb at (0.250, 0.250, 0.000), Pa at (0.000, 0.000, 0.500), Pa at (0.250, 0.250, 0.500), Pd at (0.000, 0.500, 0.500), S at (0.023, 0.240, 0.309), S at (0.231, 0.000, 0.695) and S at (0.239, 0.500, 0.693).

Below is crystalline RbPa2PdS8 at its relaxed geometry, with properties calculated at the PBE level.

The value obtained for the uncorrected formation energy is -930 meV per atom. Its crystal system is trigonal. For the total magnetization, the calculation gives 0.00 Bohr magnetons per cell. The calculation puts the density of states at the Fermi level at 0.300 states/eV/atom.

It has space group P-3m1 (No. 164), with a = 6.1033 Å, b = 6.1033 Å, c = 9.1426 Å, α = 90.00°, β = 90.00° and γ = 120.00°. The inequivalent atoms are Rb at (0.0000, 0.0000, 0.0000), Pa at (0.3333, 0.6667, 0.3866), Pd at (0.0000, 0.0000, 0.5000), S at (0.1796, 0.3593, 0.6510) and S at (0.3333, 0.6667, 0.1231).

Below is crystalline Rb3Pa3PdSe8 at its relaxed geometry, with properties calculated at the PBE level.

The value obtained for the uncorrected formation energy is -1187 meV per atom. Its crystal system is monoclinic. For the total magnetization, the calculation gives 5.01 Bohr magnetons per cell. The calculation puts the density of states at the Fermi level at 1.149 states/eV/atom.

It has space group C2/m (No. 12), with a = 14.030 Å, b = 8.539 Å, c = 9.264 Å, α = 90.00°, β = 118.68° and γ = 90.00°. The inequivalent atoms are Rb at (0.000, 0.000, 0.000), Rb at (0.250, 0.250, 0.000), Pa at (0.000, 0.500, 0.500), Pa at (0.250, 0.250, 0.500), Pd at (0.000, 0.000, 0.500), Se at (0.024, 0.270, 0.300), Se at (0.216, 0.000, 0.676) and Se at (0.235, 0.500, 0.701).

Below is crystalline RbPa4Pd3Se12 at its relaxed geometry, with properties calculated at the PBE level.

The value obtained for the uncorrected formation energy is -954 meV per atom. Its crystal system is cubic. For the total magnetization, the calculation gives 0.01 Bohr magnetons per cell. The calculation puts the density of states at the Fermi level at 0.873 states/eV/atom.

It has space group Im-3 (No. 204), with a = 10.297 Å, b = 10.297 Å, c = 10.297 Å, α = 90.00°, β = 90.00° and γ = 90.00°. The inequivalent atoms are Rb at (0.000, 0.000, 0.000), Pa at (0.250, 0.250, 0.250), Pd at (0.000, 0.000, 0.500) and Se at (0.000, 0.166, 0.316).

Below is crystalline Rb2PaPd2Se4 at its relaxed geometry, with properties calculated at the PBE level.

The value obtained for the uncorrected formation energy is -1057 meV per atom. Its crystal system is monoclinic. For the total magnetization, the calculation gives 0.00 Bohr magnetons per cell. The calculation puts the density of states at the Fermi level at 0.461 states/eV/atom.

It has space group C2/m (No. 12), with a = 15.003 Å, b = 4.176 Å, c = 8.228 Å, α = 90.00°, β = 108.24° and γ = 90.00°. The inequivalent atoms are Rb at (0.137, 0.000, 0.074), Pa at (0.000, 0.000, 0.500), Pd at (0.181, 0.500, 0.497), Se at (0.013, 0.500, 0.269) and Se at (0.192, 0.000, 0.679).

Below is crystalline RbPa2Pd2Se6 at its relaxed geometry, with properties calculated at the PBE level.

The value obtained for the uncorrected formation energy is -995 meV per atom. Its crystal system is triclinic. For the total magnetization, the calculation gives 0.00 Bohr magnetons per cell. The calculation puts the density of states at the Fermi level at 0.886 states/eV/atom.

It has space group P-1 (No. 2), with a = 6.936 Å, b = 7.590 Å, c = 7.674 Å, α = 61.19°, β = 69.96° and γ = 63.30°. The inequivalent atoms are Rb at (0.000, 0.000, 0.000), Pa at (0.010, 0.666, 0.672), Pd at (0.488, 0.712, 0.359), Se at (0.247, 0.928, 0.574), Se at (0.249, 0.525, 0.362) and Se at (0.259, 0.309, 0.964).

Below is crystalline Rb3PaPd2Se6 at its relaxed geometry, with properties calculated at the PBE level.

The value obtained for the uncorrected formation energy is -861 meV per atom. Its crystal system is monoclinic. For the total magnetization, the calculation gives 0.00 Bohr magnetons per cell. The calculation puts the density of states at the Fermi level at 0.675 states/eV/atom.

It has space group C2/m (No. 12), with a = 6.941 Å, b = 11.955 Å, c = 8.392 Å, α = 90.00°, β = 106.11° and γ = 90.00°. The inequivalent atoms are Rb at (0.000, 0.000, 0.000), Rb at (0.000, 0.335, 0.000), Pa at (0.000, 0.500, 0.500), Pd at (0.000, 0.167, 0.500), Se at (0.215, 0.000, 0.682) and Se at (0.232, 0.327, 0.685).

Below is crystalline RbPaPdSe3 at its relaxed geometry, with properties calculated at the PBE level.

The value obtained for the uncorrected formation energy is -1260 meV per atom. Its crystal system is orthorhombic. For the total magnetization, the calculation gives 0.31 Bohr magnetons per cell.

It has space group Cmcm (No. 63), with a = 4.154 Å, b = 15.480 Å, c = 10.539 Å, α = 90.00°, β = 90.00° and γ = 90.00°. The inequivalent atoms are Rb at (0.000, 0.249, 0.250), Pa at (0.000, 0.500, 0.000), Pd at (0.000, 0.032, 0.750), Se at (0.000, 0.122, 0.547) and Se at (0.000, 0.434, 0.750).

Below is crystalline Rb4Pa3PdSe8 at its relaxed geometry, with properties calculated at the PBE level.

The value obtained for the uncorrected formation energy is -1179 meV per atom. Its crystal system is monoclinic. For the total magnetization, the calculation gives 5.93 Bohr magnetons per cell. The calculation puts the density of states at the Fermi level at 1.160 states/eV/atom.

It has space group C2/m (No. 12), with a = 14.629 Å, b = 8.420 Å, c = 9.398 Å, α = 90.00°, β = 121.27° and γ = 90.00°. The inequivalent atoms are Rb at (0.000, 0.000, 0.000), Rb at (0.000, 0.500, 0.000), Rb at (0.250, 0.250, 0.000), Pa at (0.000, 0.000, 0.500), Pa at (0.250, 0.250, 0.500), Pd at (0.000, 0.500, 0.500), Se at (0.021, 0.245, 0.307), Se at (0.233, 0.000, 0.701) and Se at (0.236, 0.500, 0.695).

Below is crystalline Rb3Pa3Te8Pd at its relaxed geometry, with properties calculated at the PBE level.

The value obtained for the uncorrected formation energy is -808 meV per atom. Its crystal system is monoclinic. For the total magnetization, the calculation gives 6.16 Bohr magnetons per cell. The calculation puts the density of states at the Fermi level at 1.410 states/eV/atom.

It has space group C2/m (No. 12), with a = 14.930 Å, b = 8.922 Å, c = 10.040 Å, α = 90.00°, β = 118.64° and γ = 90.00°. The inequivalent atoms are Rb at (0.000, 0.000, 0.000), Rb at (0.250, 0.250, 0.000), Pa at (0.000, 0.500, 0.500), Pa at (0.250, 0.250, 0.500), Te at (0.020, 0.253, 0.304), Te at (0.214, 0.000, 0.682), Te at (0.236, 0.500, 0.706) and Pd at (0.000, 0.000, 0.500).

Below is crystalline Rb3PaTe6Pd2 at its relaxed geometry, with properties calculated at the PBE level.

The value obtained for the uncorrected formation energy is -657 meV per atom. Its crystal system is monoclinic. For the total magnetization, the calculation gives 0.00 Bohr magnetons per cell. The calculation puts the density of states at the Fermi level at 0.615 states/eV/atom.

It has space group C2/m (No. 12), with a = 7.349 Å, b = 12.680 Å, c = 9.010 Å, α = 90.00°, β = 105.87° and γ = 90.00°. The inequivalent atoms are Rb at (0.000, 0.000, 0.000), Rb at (0.000, 0.339, 0.000), Pa at (0.000, 0.500, 0.500), Te at (0.208, 0.000, 0.682), Te at (0.237, 0.324, 0.684) and Pd at (0.000, 0.167, 0.500).

Below is crystalline Rb3Pa2Te6Pd at its relaxed geometry, with properties calculated at the PBE level.

The value obtained for the uncorrected formation energy is -822 meV per atom. Its crystal system is monoclinic. For the total magnetization, the calculation gives 1.97 Bohr magnetons per cell. The calculation puts the density of states at the Fermi level at 0.658 states/eV/atom.

It has space group C2/m (No. 12), with a = 7.706 Å, b = 13.341 Å, c = 8.920 Å, α = 90.00°, β = 106.69° and γ = 90.00°. The inequivalent atoms are Rb at (0.000, 0.000, 0.000), Rb at (0.000, 0.335, 0.000), Pa at (0.000, 0.167, 0.500), Te at (0.231, 0.334, 0.695), Te at (0.233, 0.000, 0.694) and Pd at (0.000, 0.500, 0.500).

Below is crystalline Rb2PaTe4Pd at its relaxed geometry, with properties calculated at the PBE level.

The value obtained for the uncorrected formation energy is -746 meV per atom. Its crystal system is monoclinic. For the total magnetization, the calculation gives 0.93 Bohr magnetons per cell. The calculation puts the density of states at the Fermi level at 0.655 states/eV/atom.

It has space group P2/m (No. 10), with a = 7.993 Å, b = 4.325 Å, c = 9.162 Å, α = 90.00°, β = 110.94° and γ = 90.00°. The inequivalent atoms are Rb at (0.000, 0.000, 0.000), Rb at (0.500, 0.500, 0.000), Pa at (0.000, 0.500, 0.500), Te at (0.207, 0.000, 0.723), Te at (0.295, 0.500, 0.348) and Pd at (0.500, 0.000, 0.500).

Below is crystalline RbPaTe3Pd at its relaxed geometry, with properties calculated at the PBE level.

The value obtained for the uncorrected formation energy is -928 meV per atom. Its crystal system is orthorhombic. For the total magnetization, the calculation gives 0.30 Bohr magnetons per cell. The calculation puts the density of states at the Fermi level at 0.063 states/eV/atom.

It has space group Cmcm (No. 63), with a = 4.358 Å, b = 16.635 Å, c = 11.138 Å, α = 90.00°, β = 90.00° and γ = 90.00°. The inequivalent atoms are Rb at (0.000, 0.249, 0.250), Pa at (0.000, 0.000, 0.000), Te at (0.000, 0.069, 0.750), Te at (0.000, 0.376, 0.553) and Pd at (0.000, 0.472, 0.750).

Below is crystalline Rb4Pa3Te8Pd at its relaxed geometry, with properties calculated at the PBE level.

The value obtained for the uncorrected formation energy is -834 meV per atom. Its crystal system is monoclinic. For the total magnetization, the calculation gives 6.35 Bohr magnetons per cell. The calculation puts the density of states at the Fermi level at 1.334 states/eV/atom.

It has space group C2/m (No. 12), with a = 15.495 Å, b = 8.930 Å, c = 10.022 Å, α = 90.00°, β = 121.05° and γ = 90.00°. The inequivalent atoms are Rb at (0.000, 0.000, 0.000), Rb at (0.000, 0.500, 0.000), Rb at (0.250, 0.250, 0.000), Pa at (0.000, 0.000, 0.500), Pa at (0.250, 0.250, 0.500), Te at (0.018, 0.254, 0.307), Te at (0.229, 0.500, 0.694), Te at (0.235, 0.000, 0.706) and Pd at (0.000, 0.500, 0.500).

Below is crystalline Pa2RePd at its relaxed geometry, with properties calculated at the PBE level.

Its crystal system is cubic. As for the formation energy: -0.163 eV/atom. For the total magnetization, the calculation gives 0.00 Bohr magnetons per cell. The calculation puts the density of states at the Fermi level at 1.887 states/eV/atom.

It has space group Fm-3m (No. 225), with a = 6.954 Å, b = 6.954 Å, c = 6.954 Å, α = 90.00°, β = 90.00° and γ = 90.00°. The inequivalent atoms are Pa at (0.250, 0.250, 0.250), Re at (0.000, 0.000, 0.000) and Pd at (0.000, 0.000, 0.500).

Number 1: mass density 5.8 g/cm³. Number 2: mass density 5.0 g/cm³. Number 3: mass density 5.3 g/cm³. Number 4: mass density 6.6 g/cm³. Number 5: mass density 5.3 g/cm³. Number 6: mass density 5.1 g/cm³. Number 7: mass density 5.8 g/cm³. Number 8: mass density 6.9 g/cm³. Number 9: mass density 6.3 g/cm³. Number 10: mass density 6.6 g/cm³. Number 11: mass density 5.8 g/cm³. Number 12: mass density 6.5 g/cm³. Number 13: mass density 6.0 g/cm³. Number 14: mass density 5.9 g/cm³. Number 15: mass density 6.0 g/cm³. Number 16: mass density 6.0 g/cm³. Number 17: mass density 5.7 g/cm³. Number 18: mass density 6.6 g/cm³. Number 19: mass density 6.0 g/cm³. Number 20: mass density 14.9 g/cm³.